Entry 1:
{"formula": "LaAgCl2", "functional": "PBE-GGA", "state": "optimized geometry", "formation_energy_uncorrected_ev_per_atom": -1.0924, "total_magnetization_mub_per_cell": 0.0, "sg": "F-43m, No. 216", "dft_energy_ev_per_cell": -15.84, "e_above_lowest_polymorph_ev_per_atom": 0.220, "lattice_angstrom": [[5.1365, 0.0000, 0.0000], [2.5682, 4.4483, 0.0000], [2.5682, 1.4828, 4.1939]], "species": ["Cl", "Cl", "La", "Ag"], "fractional_positions": [[0.0000, 0.0000, 0.0000], [0.2500, 0.2500, 0.2500], [0.7500, 0.7500, 0.7500], [0.5000, 0.5000, 0.5000]]}



Entry 2:
{"formula": "Be2AgPd2", "functional": "PBE-GGA", "state": "optimized geometry", "total_magnetization_mub_per_cell": 0.0, "sg": "P4/mbm, No. 127", "formation_energy_ev_per_atom": -0.372, "dft_energy_ev_per_cell": -45.10, "e_above_lowest_polymorph_ev_per_atom": 0.000, "lattice_angstrom": [[6.7455, 0.0000, 0.0000], [0.0000, 6.7455, 0.0000], [0.0000, 0.0000, 2.8021]], "species": ["Pd", "Pd", "Pd", "Pd", "Ag", "Ag", "Be", "Be", "Be", "Be"], "fractional_positions": [[0.3438, 0.1562, 0.5000], [0.6562, 0.8438, 0.5000], [0.1562, 0.6562, 0.5000], [0.8438, 0.3438, 0.5000], [0.0000, 0.0000, 0.0000], [0.5000, 0.5000, 0.0000], [0.1333, 0.3667, 0.0000], [0.6333, 0.1333, 0.0000], [0.3667, 0.8667, 0.0000], [0.8667, 0.6333, 0.0000]]}



Entry 3:
{"formula": "P2C", "functional": "PBE-GGA", "state": "optimized geometry", "total_magnetization_mub_per_cell": 0.0, "sg": "Pnnm, No. 58", "formation_energy_ev_per_atom": 1.038, "dft_energy_ev_per_cell": -33.86, "e_above_lowest_polymorph_ev_per_atom": 0.608, "lattice_angstrom": [[-0.4298, -0.6507, -2.6247], [3.4173, -1.4269, -0.2058], [-3.3299, -8.3516, 2.6158]], "species": ["C", "C", "P", "P", "P", "P"], "fractional_positions": [[0.5000, 0.5000, 0.5000], [0.0000, 0.0000, 0.0000], [0.0000, 0.2304, 0.5870], [0.5000, 0.2696, 0.0870], [0.0000, 0.7696, 0.4130], [0.5000, 0.7304, 0.9130]]}



Copy entry 2 word for word.
{"formula": "Be2AgPd2", "functional": "PBE-GGA", "state": "optimized geometry", "total_magnetization_mub_per_cell": 0.0, "sg": "P4/mbm, No. 127", "formation_energy_ev_per_atom": -0.372, "dft_energy_ev_per_cell": -45.10, "e_above_lowest_polymorph_ev_per_atom": 0.000, "lattice_angstrom": [[6.7455, 0.0000, 0.0000], [0.0000, 6.7455, 0.0000], [0.0000, 0.0000, 2.8021]], "species": ["Pd", "Pd", "Pd", "Pd", "Ag", "Ag", "Be", "Be", "Be", "Be"], "fractional_positions": [[0.3438, 0.1562, 0.5000], [0.6562, 0.8438, 0.5000], [0.1562, 0.6562, 0.5000], [0.8438, 0.3438, 0.5000], [0.0000, 0.0000, 0.0000], [0.5000, 0.5000, 0.0000], [0.1333, 0.3667, 0.0000], [0.6333, 0.1333, 0.0000], [0.3667, 0.8667, 0.0000], [0.8667, 0.6333, 0.0000]]}